No. 1
A geometry-optimized Tb3Ta2As4 structure. Source: OQMD, functional GGA-PBE.

Unit cell a=7.9846 b=3.6570 c=7.9900 alpha=90.00 beta=119.98 gamma=90.00
Fractional coordinates of all 9 atoms:
Tb: 0.4972 0.5000 0.4807
Tb: 0.9835 0.5000 0.5028
Tb: 0.5192 0.5000 0.0164
As: 0.1542 0.0000 0.8636
As: 0.1364 0.0000 0.2905
As: 0.7094 0.0000 0.8459
As: 0.6667 0.0000 0.3334
Ta: 0.3335 0.0000 0.6669
Ta: 0.0000 0.5000 0.0000

* mass density: 9.35 g cm⁻³
* total energy: -0.254 hartree per atom

=====

No. 2
A geometry-optimized Ta2TcAs2 structure. Source: OQMD, functional GGA-PBE.

Unit cell a=5.8731 b=5.8731 c=5.8731 alpha=136.79 beta=136.79 gamma=62.76
Fractional coordinates of all 5 atoms:
As: 0.6172 0.6172 0.0000
As: 0.3828 0.3828 0.0000
Tc: 0.0000 0.0000 0.0000
Ta: 0.2500 0.7500 0.5000
Ta: 0.7500 0.2500 0.5000

* mass density: 10.80 g cm⁻³
* total energy: -0.302 hartree per atom

=====

No. 3
A geometry-optimized TaTcAs2 structure. Source: OQMD, functional GGA-PBE.

Unit cell a=4.5358 b=4.5358 c=4.5358 alpha=60.00 beta=60.00 gamma=60.00
Site moments in Bohr magnetons follow the coordinates.
Fractional coordinates of all 4 atoms:
As: 0.5000 0.5000 0.5000  0.02
As: 0.7500 0.7500 0.7500  0.01
Tc: 0.0000 0.0000 0.0000  0.16
Ta: 0.2500 0.2500 0.2500  0.02

* mass density: 10.79 g cm⁻³
* total energy: -0.281 hartree per atom

=====

No. 4
A geometry-optimized TaTcAs structure. Source: OQMD, functional GGA-PBE.

Unit cell a=4.2622 b=4.2622 c=4.2622 alpha=60.00 beta=60.00 gamma=60.00
Fractional coordinates of all 3 atoms:
Ta: 0.7500 0.7500 0.7500
As: 0.2500 0.2500 0.2500
Tc: 0.0000 0.0000 0.0000

* ΔE to the lowest computed polymorph: 0 meV/atom
* mass density: 10.73 g cm⁻³
* total energy: -0.331 hartree per atom

=====

No. 5
A geometry-optimized TaTcAs structure. Source: OQMD, functional GGA-PBE.

Unit cell a=4.3104 b=4.3104 c=4.3104 alpha=60.00 beta=60.00 gamma=60.00
Fractional coordinates of all 3 atoms:
As: 0.2500 0.2500 0.2500
Tc: 0.7500 0.7500 0.7500
Ta: 0.0000 0.0000 0.0000

* ΔE to the lowest computed polymorph: 332 meV/atom
* mass density: 10.38 g cm⁻³
* total energy: -0.318 hartree per atom

=====

No. 6
A geometry-optimized Ta2TeAs2 structure. Source: OQMD, functional GGA-PBE.

Unit cell a=7.2207 b=7.2207 c=7.2207 alpha=149.07 beta=149.07 gamma=44.30
Fractional coordinates of all 5 atoms:
Ta: 0.6129 0.6129 0.0000
Ta: 0.3871 0.3871 0.0000
Te: 0.0000 0.0000 0.0000
As: 0.2500 0.7500 0.5000
As: 0.7500 0.2500 0.5000

* ΔE to the lowest computed polymorph: 181 meV/atom
* mass density: 10.71 g cm⁻³
* total energy: -0.260 hartree per atom

=====

No. 7
A geometry-optimized Ta2TeAs2 structure. Source: OQMD, functional GGA-PBE.

Unit cell a=5.7447 b=5.7447 c=5.7447 alpha=131.93 beta=131.93 gamma=70.34
Fractional coordinates of all 5 atoms:
Ta: 0.2500 0.7500 0.5000
Ta: 0.7500 0.2500 0.5000
As: 0.6339 0.6339 0.0000
As: 0.3661 0.3661 0.0000
Te: 0.0000 0.0000 0.0000

* ΔE to the lowest computed polymorph: 0 meV/atom
* mass density: 10.32 g cm⁻³
* total energy: -0.267 hartree per atom

=====

No. 8
A geometry-optimized TaTlAs structure. Source: OQMD, functional GGA-PBE.

Unit cell a=4.6345 b=4.6345 c=4.6345 alpha=60.00 beta=60.00 gamma=60.00
Fractional coordinates of all 3 atoms:
Tl: 0.7500 0.7500 0.7500
Ta: 0.0000 0.0000 0.0000
As: 0.2500 0.2500 0.2500

* ΔE to the lowest computed polymorph: 0 meV/atom
* mass density: 10.86 g cm⁻³
* total energy: -0.205 hartree per atom

=====

No. 9
A geometry-optimized TaTlAs structure. Source: OQMD, functional GGA-PBE.

Unit cell a=4.5793 b=4.5793 c=4.5793 alpha=60.00 beta=60.00 gamma=60.00
Fractional coordinates of all 3 atoms:
Tl: 0.7500 0.7500 0.7500
As: 0.0000 0.0000 0.0000
Ta: 0.2500 0.2500 0.2500

* ΔE to the lowest computed polymorph: 46 meV/atom
* mass density: 11.26 g cm⁻³
* total energy: -0.203 hartree per atom

=====

No. 10
A geometry-optimized UTaAs structure. Source: OQMD, functional GGA-PBE.

Unit cell a=4.6270 b=4.6270 c=4.6270 alpha=60.00 beta=60.00 gamma=60.00
Fractional coordinates of all 3 atoms:
As: 0.2500 0.2500 0.2500
Ta: 0.7500 0.7500 0.7500
U: 0.0000 0.0000 0.0000

* ΔE to the lowest computed polymorph: 612 meV/atom
* mass density: 11.71 g cm⁻³
* total energy: -0.306 hartree per atom

=====

No. 11
A geometry-optimized UTaAs structure. Source: OQMD, functional GGA-PBE.

Unit cell a=4.5492 b=4.5492 c=4.5492 alpha=60.00 beta=60.00 gamma=60.00
Fractional coordinates of all 3 atoms:
U: 0.7500 0.7500 0.7500
As: 0.0000 0.0000 0.0000
Ta: 0.2500 0.2500 0.2500

* ΔE to the lowest computed polymorph: 0 meV/atom
* mass density: 12.32 g cm⁻³
* total energy: -0.329 hartree per atom

=====

No. 12
A geometry-optimized TaAsW2 structure. Source: OQMD, functional GGA-PBE.

Unit cell a=4.5349 b=4.5349 c=4.5349 alpha=60.00 beta=60.00 gamma=60.00
Fractional coordinates of all 4 atoms:
W: 0.7500 0.7500 0.7500
W: 0.0000 0.0000 0.0000
As: 0.5000 0.5000 0.5000
Ta: 0.2500 0.2500 0.2500

* mass density: 15.70 g cm⁻³
* total energy: -0.376 hartree per atom

=====

No. 13
A geometry-optimized Ta2AsW structure. Source: OQMD, functional GGA-PBE.

Unit cell a=4.5701 b=4.5701 c=4.5701 alpha=60.00 beta=60.00 gamma=60.00
Fractional coordinates of all 4 atoms:
As: 0.5000 0.5000 0.5000
Ta: 0.0000 0.0000 0.0000
Ta: 0.7500 0.7500 0.7500
W: 0.2500 0.2500 0.2500

* mass density: 15.27 g cm⁻³
* total energy: -0.369 hartree per atom

=====

No. 14
A geometry-optimized TaAsW structure. Source: OQMD, functional GGA-PBE.

Unit cell a=4.3588 b=4.3588 c=4.3588 alpha=60.00 beta=60.00 gamma=60.00
Fractional coordinates of all 3 atoms:
As: 0.2500 0.2500 0.2500
W: 0.0000 0.0000 0.0000
Ta: 0.7500 0.7500 0.7500

* ΔE to the lowest computed polymorph: 0 meV/atom
* mass density: 12.47 g cm⁻³
* total energy: -0.339 hartree per atom